1.
Fe2PRu | PBE | optimized geometry

```
Fe2PRu
1.0
-1.7128 -0.8715 -2.9417
1.9290 -1.8227 -0.5832
-1.5659 -4.3931 2.2132
P Fe Ru
1 2 1
direct
0.0000 0.7163 0.4435 P
0.0000 0.9342 0.0063 Fe
0.5000 0.2928 0.2890 Fe
0.5000 0.5567 0.7611 Ru
```

Output
* volume: 47.5 Å³/f.u.
* ρ: 8.5 Mg/m³
* N(E_F): 1.0312 states/eV per atom
* symmetry: Amm2
* energy of formation: -0.12 eV/atom
* M_tot: 1.50 μB/f.u.

2.
Zn2CrSi | PBE | optimized geometry

```
Zn2CrSi
1.0
2.5935 0.0488 0.0000
-0.4610 2.5527 0.0000
0.0000 0.0000 8.2999
Cr Si Zn
1 1 2
direct
0.0000 0.0000 0.5073 Cr
0.5000 0.5000 0.7224 Si
0.0000 0.0000 0.0044 Zn
0.5000 0.5000 0.2659 Zn
```

Output
* volume: 55.1 Å³/f.u.
* ρ: 6.4 Mg/m³
* N(E_F): 0.3255 states/eV per atom
* symmetry: Cmm2
* M_tot: 0.00 μB/f.u.
* DFT total energy: -4.217 eV/atom

3.
Sc4AlZn2Ga | PBE | optimized geometry

```
Sc4AlZn2Ga
1.0
-2.8753 3.2990 -1.8432
-3.3955 -1.2582 -3.0717
-7.0420 -0.3430 4.2546
Sc Ga Zn Al
4 1 2 1
direct
0.1234 0.1234 0.6297 Sc
0.3737 0.3737 0.8789 Sc
0.8766 0.8766 0.3703 Sc
0.6263 0.6263 0.1211 Sc
0.0000 0.0000 0.0000 Ga
0.2467 0.2467 0.2600 Zn
0.7533 0.7533 0.7400 Zn
0.5000 0.5000 0.5000 Al
```

Output
* volume: 151.6 Å³/f.u.
* ρ: 4.5 Mg/m³
* N(E_F): 0.7600 states/eV per atom
* symmetry: R-3m
* energy of formation: -0.47 eV/atom
* M_tot: 0.00 μB/f.u.